Entry 1:
Computed, not measured: a geometry-optimized Cs3AuI5 structure at the PBE level of DFT.

The structure in CIF format:
```
data_Cs3AuI5
_chemical_formula_sum 'Cs12 Au4 I20'
_space_group_name_H-M_alt 'I 4/m c m'
_space_group_IT_number 140
_space_group_name_Hall '-I 4 2c'
_cell_length_a 10.343
_cell_length_b 10.343
_cell_length_c 17.220
_cell_angle_alpha 90.00
_cell_angle_beta 90.00
_cell_angle_gamma 90.00
loop_
_atom_site_label
_atom_site_type_symbol
_atom_site_fract_x
_atom_site_fract_y
_atom_site_fract_z
Cs1 Cs 0.000 0.000 0.250
Cs2 Cs 0.156 0.344 0.000
Au1 Au 0.000 0.500 0.250
I1 I 0.000 0.000 0.000
I2 I 0.145 0.355 0.353
```

## Properties
* DOS(E_F): 1.459 states/eV/atom
* raw formation energy: -0.991 eV per atom

=====

Entry 2:
Computed, not measured: a geometry-optimized CsAuI6 structure at the PBE level of DFT.

The structure in CIF format:
```
data_CsAuI6
_chemical_formula_sum 'Cs3 Au3 I18'
_space_group_name_H-M_alt 'R -3 m'
_space_group_IT_number 166
_space_group_name_Hall '-R 3 2"'
_cell_length_a 11.7417
_cell_length_b 11.7417
_cell_length_c 8.3117
_cell_angle_alpha 90.00
_cell_angle_beta 90.00
_cell_angle_gamma 120.00
loop_
_atom_site_label
_atom_site_type_symbol
_atom_site_fract_x
_atom_site_fract_y
_atom_site_fract_z
Cs1 Cs 0.0000 0.0000 0.0000
Au1 Au 0.0000 0.0000 0.5000
I1 I 0.0845 0.5422 0.3410
```

## Properties
* DOS(E_F): 0.576 states/eV/atom
* raw formation energy: -0.303 eV per atom

=====

Entry 3:
Computed, not measured: a geometry-optimized Cs3Au2I structure at the PBE level of DFT.

The structure in CIF format:
```
data_Cs3Au2I
_chemical_formula_sum 'Cs6 Au4 I2'
_space_group_name_H-M_alt 'I m m m'
_space_group_IT_number 71
_space_group_name_Hall '-I 2 2'
_cell_length_a 5.328
_cell_length_b 7.589
_cell_length_c 16.072
_cell_angle_alpha 90.00
_cell_angle_beta 90.00
_cell_angle_gamma 90.00
loop_
_atom_site_label
_atom_site_type_symbol
_atom_site_fract_x
_atom_site_fract_y
_atom_site_fract_z
Cs1 Cs 0.000 0.000 0.000
Cs2 Cs 0.000 0.000 0.325
Au1 Au 0.000 0.500 0.335
I1 I 0.000 0.500 0.000
```

## Properties
* DOS(E_F): 0.000 states/eV/atom
* offset from the most stable computed form: 0.0 meV per atom
* raw formation energy: -0.725 eV per atom

=====

Entry 4:
Computed, not measured: a geometry-optimized CsAuI2 structure at the PBE level of DFT.

The structure in CIF format:
```
data_CsAuI2
_chemical_formula_sum 'Cs4 Au4 I8'
_space_group_name_H-M_alt 'C 1 2/m 1'
_space_group_IT_number 12
_space_group_name_Hall '-C 2y'
_cell_length_a 13.533
_cell_length_b 6.917
_cell_length_c 10.401
_cell_angle_alpha 90.00
_cell_angle_beta 98.82
_cell_angle_gamma 90.00
loop_
_atom_site_label
_atom_site_type_symbol
_atom_site_fract_x
_atom_site_fract_y
_atom_site_fract_z
Cs1 Cs 0.250 0.000 0.250
Au1 Au 0.000 0.000 0.000
Au2 Au 0.000 0.500 0.500
I1 I 0.144 0.000 0.864
I2 I 0.144 0.500 0.365
```

## Properties
* DOS(E_F): 0.000 states/eV/atom
* offset from the most stable computed form: 10.4 meV per atom
* raw formation energy: -0.821 eV per atom

=====

Entry 5:
Computed, not measured: a geometry-optimized CsAuI3 structure at the PBE level of DFT.

The structure in CIF format:
```
data_CsAuI3
_chemical_formula_sum 'Cs6 Au6 I18'
_space_group_name_H-M_alt 'R -3 m'
_space_group_IT_number 166
_space_group_name_Hall '-R 3 2"'
_cell_length_a 7.9145
_cell_length_b 7.9145
_cell_length_c 24.5828
_cell_angle_alpha 90.00
_cell_angle_beta 90.00
_cell_angle_gamma 120.00
loop_
_atom_site_label
_atom_site_type_symbol
_atom_site_fract_x
_atom_site_fract_y
_atom_site_fract_z
Cs1 Cs 0.0000 0.0000 0.1142
Au1 Au 0.0000 0.0000 0.3335
I1 I 0.0024 0.5012 0.9224
```

## Properties
* DOS(E_F): 1.107 states/eV/atom
* raw formation energy: -0.513 eV per atom

=====

Entry 6:
Computed, not measured: a geometry-optimized CsAuI3 structure at the PBE level of DFT.

The structure in CIF format:
```
data_CsAuI3
_chemical_formula_sum 'Cs4 Au4 I12'
_space_group_name_H-M_alt 'P n m a'
_space_group_IT_number 62
_space_group_name_Hall '-P 2ac 2n'
_cell_length_a 8.787
_cell_length_b 14.001
_cell_length_c 8.337
_cell_angle_alpha 90.00
_cell_angle_beta 90.00
_cell_angle_gamma 90.00
loop_
_atom_site_label
_atom_site_type_symbol
_atom_site_fract_x
_atom_site_fract_y
_atom_site_fract_z
Cs1 Cs 0.000 0.000 0.000
Au1 Au 0.094 0.250 0.229
I1 I 0.057 0.109 0.450
I2 I 0.126 0.250 0.917
```

## Properties
* DOS(E_F): 0.000 states/eV/atom
* raw formation energy: -0.605 eV per atom

=====

Entry 7:
Computed, not measured: a geometry-optimized Cs2Au3I8 structure at the PBE level of DFT.

The structure in CIF format:
```
data_Cs2Au3I8
_chemical_formula_sum 'Cs4 Au6 I16'
_space_group_name_H-M_alt 'C 1 2/m 1'
_space_group_IT_number 12
_space_group_name_Hall '-C 2y'
_cell_length_a 16.352
_cell_length_b 9.263
_cell_length_c 8.613
_cell_angle_alpha 90.00
_cell_angle_beta 106.43
_cell_angle_gamma 90.00
loop_
_atom_site_label
_atom_site_type_symbol
_atom_site_fract_x
_atom_site_fract_y
_atom_site_fract_z
Cs1 Cs 0.219 0.000 0.136
Au1 Au 0.000 0.207 0.500
Au2 Au 0.000 0.500 0.000
I1 I 0.061 0.273 0.816
I2 I 0.136 0.000 0.516
I3 I 0.162 0.500 0.210
```

## Properties
* DOS(E_F): 0.381 states/eV/atom
* raw formation energy: -0.452 eV per atom

=====

Entry 8:
Computed, not measured: a geometry-optimized Cs2Au2I5 structure at the PBE level of DFT.

The structure in CIF format:
```
data_Cs2Au2I5
_chemical_formula_sum 'Cs4 Au4 I10'
_space_group_name_H-M_alt 'C 1 2/m 1'
_space_group_IT_number 12
_space_group_name_Hall '-C 2y'
_cell_length_a 15.298
_cell_length_b 5.976
_cell_length_c 9.167
_cell_angle_alpha 90.00
_cell_angle_beta 97.34
_cell_angle_gamma 90.00
loop_
_atom_site_label
_atom_site_type_symbol
_atom_site_fract_x
_atom_site_fract_y
_atom_site_fract_z
Cs1 Cs 0.080 0.000 0.267
Au1 Au 0.191 0.500 0.860
I1 I 0.000 0.500 0.000
I2 I 0.132 0.500 0.573
I3 I 0.209 0.000 0.875
```

## Properties
* DOS(E_F): 0.271 states/eV/atom
* offset from the most stable computed form: 6.5 meV per atom
* raw formation energy: -0.692 eV per atom

=====

- What is the formula in the second record?
  CsAuI6

=====

- raw formation energy of number 4 (CsAuI2)?
  -0.821 eV per atom